First-principles (PBE) data for a relaxed structure of CdAs2Ir, as listed in Alexandria.

Lattice parameters (Å, degrees): 4.675 4.675 4.675 60.00 60.00 60.00
Atoms (fractional coordinates):
As  0.250  0.250  0.250
Ir  0.750  0.750  0.750
Cd  0.500  0.500  0.500
As  0.000  0.000  0.000

Calculated values
* E: -4.28 eV per atom
* space group: F-43m
* Fermi-level density of states: 4.9 states/eV/f.u.
* energy of formation from the pure elements: 0.492 eV per atom
* spin magnetization: 0.0 Bohr magnetons per cell
* crystal system: cubic